Record 1
DFT (PBE) results for an optimized crystal structure of Pu3Tl4CrS8.

## Properties
The space-group type is R-3m. The calculation puts the raw total energy at -6.96 eV per atom. The value obtained for the formation energy (no corrections) is -1.020 eV/atom. For the density of states at the Fermi level, the calculation gives 1.496 states/eV/atom.

abc: 7.929 8.757 7.930
angles: 116.94 120.00 90.00
Last column: magnetic moment on the atom in μB.
Element x y z (fractional)
Pu (0.500, 0.500, 0.000)  4.98
Pu (0.500, 0.500, 0.500)  4.98
Pu (0.000, 0.500, 0.500)  4.98
Tl (0.500, 0.000, 0.000)  0.02
Tl (0.500, 0.000, 0.500)  0.00
Tl (0.000, 0.000, 0.000)  0.00
Tl (0.000, 0.000, 0.500)  0.00
Cr (0.000, 0.500, 0.000)  3.21
S (0.218, 0.687, 0.968)  -0.11
S (0.219, 0.687, 0.437)  -0.11
S (0.267, 0.302, 0.535)  -0.11
S (0.750, 0.687, 0.968)  -0.11
S (0.250, 0.313, 0.032)  -0.11
S (0.733, 0.698, 0.465)  -0.11
S (0.781, 0.313, 0.563)  -0.11
S (0.782, 0.313, 0.032)  -0.11

Record 2
DFT (PBE) results for an optimized crystal structure of Pu2Tl3CrS6.

## Properties
The space-group type is C2/m. The calculation puts the raw total energy at -6.81 eV per atom. The value obtained for the formation energy (no corrections) is -0.966 eV/atom. For the density of states at the Fermi level, the calculation gives 1.136 states/eV/atom.

abc: 6.763 6.763 7.819
angles: 98.33 98.33 119.89
Last column: magnetic moment on the atom in μB.
Element x y z (fractional)
Pu (0.334, 0.666, 0.000)  4.98
Pu (0.666, 0.334, 0.000)  4.98
Tl (0.172, 0.828, 0.500)  0.01
Tl (0.828, 0.172, 0.500)  0.01
Tl (0.500, 0.500, 0.500)  0.01
Cr (0.000, 0.000, 0.000)  3.11
S (0.938, 0.629, 0.813)  -0.11
S (0.754, 0.754, 0.194)  -0.11
S (0.062, 0.371, 0.187)  -0.11
S (0.629, 0.938, 0.813)  -0.11
S (0.246, 0.246, 0.806)  -0.11
S (0.371, 0.062, 0.187)  -0.11

Record 3
DFT (PBE) results for an optimized crystal structure of PuTl2CrS4.

## Properties
The space-group type is P2/m. The calculation puts the raw total energy at -6.49 eV per atom. The value obtained for the formation energy (no corrections) is -0.843 eV/atom. For the density of states at the Fermi level, the calculation gives 0.914 states/eV/atom.

abc: 3.873 6.526 7.836
angles: 106.13 90.00 90.00
Last column: magnetic moment on the atom in μB.
Element x y z (fractional)
Pu (0.500, 0.500, 0.000)  4.90
Tl (0.500, 0.000, 0.500)  0.01
Tl (0.000, 0.500, 0.500)  0.02
Cr (0.000, 0.000, 0.000)  3.10
S (0.500, 0.202, 0.178)  -0.12
S (0.500, 0.798, 0.822)  -0.12
S (0.000, 0.248, 0.809)  -0.11
S (0.000, 0.752, 0.191)  -0.11

Record 4
DFT (PBE) results for an optimized crystal structure of PuTl3Cr2S6.

## Properties
The space-group type is C2/m. The calculation puts the raw total energy at -6.22 eV per atom. The value obtained for the formation energy (no corrections) is -0.765 eV/atom. For the density of states at the Fermi level, the calculation gives 0.618 states/eV/atom.

abc: 6.380 6.380 7.993
angles: 98.02 98.02 119.98
Last column: magnetic moment on the atom in μB.
Element x y z (fractional)
Pu (0.000, 0.000, 0.000)  4.89
Tl (0.161, 0.839, 0.500)  0.04
Tl (0.839, 0.161, 0.500)  0.04
Tl (0.500, 0.500, 0.500)  0.04
Cr (0.333, 0.667, 0.000)  2.92
Cr (0.667, 0.333, 0.000)  2.92
S (0.937, 0.573, 0.820)  -0.11
S (0.697, 0.697, 0.176)  -0.11
S (0.063, 0.427, 0.180)  -0.11
S (0.573, 0.937, 0.820)  -0.11
S (0.303, 0.303, 0.824)  -0.11
S (0.427, 0.063, 0.180)  -0.11

Record 5
DFT (PBE) results for an optimized crystal structure of PuScCr4.

## Properties
For the formation energy from the elements, the calculation gives 1.66 eV per formula unit. The space-group type is F-43m. The calculation puts the raw total energy at -9.58 eV per atom. For the density of states at the Fermi level, the calculation gives 2.032 states/eV/atom.

abc: 5.046 5.046 5.046
angles: 60.00 60.00 60.00
Last column: magnetic moment on the atom in μB.
Element x y z (fractional)
Sc (0.000, 0.000, 0.000)  0.03
Cr (0.625, 0.625, 0.124)  -0.25
Cr (0.625, 0.124, 0.625)  -0.25
Cr (0.625, 0.625, 0.625)  -0.25
Cr (0.124, 0.625, 0.625)  -0.25
Pu (0.250, 0.250, 0.250)  4.77

Record 6
DFT (PBE) results for an optimized crystal structure of PuScCrTc.

## Properties
For the formation energy from the elements, the calculation gives 0.18 eV per formula unit. The space-group type is F-43m. The calculation puts the raw total energy at -10.12 eV per atom. For the density of states at the Fermi level, the calculation gives 1.586 states/eV/atom.

abc: 4.651 4.651 4.651
angles: 60.00 60.00 60.00
Last column: magnetic moment on the atom in μB.
Element x y z (fractional)
Sc (0.000, 0.000, 0.000)  -0.02
Cr (0.250, 0.250, 0.250)  -2.38
Tc (0.750, 0.750, 0.750)  -0.40
Pu (0.500, 0.500, 0.500)  4.73

Record 7
DFT (PBE) results for an optimized crystal structure of Pu3CrSe6.

## Properties
The space-group type is R-3. The calculation puts the raw total energy at -8.54 eV per atom. The value obtained for the formation energy (no corrections) is -1.186 eV/atom. For the density of states at the Fermi level, the calculation gives 2.305 states/eV/atom.

abc: 8.107 8.107 8.107
angles: 99.23 99.23 99.23
Last column: magnetic moment on the atom in μB.
Element x y z (fractional)
Pu (0.374, 0.881, 0.707)  5.11
Pu (0.881, 0.707, 0.374)  5.11
Pu (0.293, 0.626, 0.119)  5.11
Pu (0.707, 0.374, 0.881)  5.11
Pu (0.119, 0.293, 0.626)  5.11
Pu (0.626, 0.119, 0.293)  5.11
Cr (0.000, 0.000, 0.000)  2.99
Cr (0.500, 0.500, 0.500)  3.32
Se (0.310, 0.969, 0.061)  -0.17
Se (0.031, 0.939, 0.690)  -0.17
Se (0.574, 0.811, 0.439)  -0.15
Se (0.939, 0.690, 0.031)  -0.17
Se (0.439, 0.574, 0.811)  -0.15
Se (0.189, 0.561, 0.426)  -0.15
Se (0.811, 0.439, 0.574)  -0.15
Se (0.561, 0.426, 0.189)  -0.15
Se (0.061, 0.310, 0.969)  -0.17
Se (0.426, 0.189, 0.561)  -0.15
Se (0.969, 0.061, 0.310)  -0.17
Se (0.690, 0.031, 0.939)  -0.17

Record 8
DFT (PBE) results for an optimized crystal structure of PuCrSe3.

## Properties
The space-group type is P2_1/m. The calculation puts the raw total energy at -7.84 eV per atom. The value obtained for the formation energy (no corrections) is -0.955 eV/atom. For the density of states at the Fermi level, the calculation gives 1.906 states/eV/atom.

abc: 3.878 7.187 8.058
angles: 94.45 90.00 90.00
Last column: magnetic moment on the atom in μB.
Element x y z (fractional)
Pu (0.250, 0.377, 0.209)  5.06
Pu (0.750, 0.623, 0.791)  5.06
Cr (0.250, 0.848, 0.348)  -2.89
Cr (0.750, 0.152, 0.652)  -2.89
Se (0.750, 0.628, 0.398)  0.00
Se (0.250, 0.372, 0.602)  0.00
Se (0.750, 0.271, 0.956)  -0.10
Se (0.250, 0.918, 0.662)  0.04
Se (0.250, 0.729, 0.044)  -0.10
Se (0.750, 0.082, 0.338)  0.04

Record 9
DFT (PBE) results for an optimized crystal structure of PuCr4Se8.

## Properties
The space-group type is R-3m. The calculation puts the raw total energy at -6.90 eV per atom. The value obtained for the formation energy (no corrections) is -0.688 eV/atom. For the density of states at the Fermi level, the calculation gives 1.109 states/eV/atom.

abc: 7.367 7.367 7.722
angles: 61.51 61.51 60.00
Last column: magnetic moment on the atom in μB.
Element x y z (fractional)
Pu (0.500, 0.500, 0.500)  5.04
Cr (0.000, 0.500, 0.000)  2.88
Cr (0.500, 0.500, 0.000)  2.88
Cr (0.500, 0.000, 0.000)  2.88
Cr (0.000, 0.000, 0.000)  2.96
Se (0.744, 0.236, 0.784)  -0.16
Se (0.764, 0.256, 0.216)  -0.16
Se (0.256, 0.764, 0.216)  -0.16
Se (0.764, 0.764, 0.216)  -0.16
Se (0.738, 0.738, 0.785)  -0.17
Se (0.262, 0.262, 0.215)  -0.17
Se (0.236, 0.236, 0.784)  -0.16
Se (0.236, 0.744, 0.784)  -0.16

Record 10
DFT (PBE) results for an optimized crystal structure of Pu2Tl3CrSe6.

## Properties
The space-group type is C2/m. The calculation puts the raw total energy at -6.40 eV per atom. The value obtained for the formation energy (no corrections) is -0.871 eV/atom. For the density of states at the Fermi level, the calculation gives 1.513 states/eV/atom.

abc: 7.065 7.065 8.076
angles: 98.43 98.43 119.91
Last column: magnetic moment on the atom in μB.
Element x y z (fractional)
Pu (0.334, 0.666, 0.000)  5.07
Pu (0.666, 0.334, 0.000)  5.07
Tl (0.174, 0.826, 0.500)  -0.01
Tl (0.826, 0.174, 0.500)  -0.01
Tl (0.500, 0.500, 0.500)  0.00
Cr (0.000, 0.000, 0.000)  3.22
Se (0.936, 0.625, 0.806)  -0.12
Se (0.756, 0.756, 0.202)  -0.12
Se (0.064, 0.375, 0.194)  -0.12
Se (0.625, 0.936, 0.806)  -0.12
Se (0.244, 0.244, 0.798)  -0.12
Se (0.375, 0.064, 0.194)  -0.12

Record 11
DFT (PBE) results for an optimized crystal structure of Pu3Tl3CrSe8.

## Properties
The space-group type is R-3m. The calculation puts the raw total energy at -6.81 eV per atom. The value obtained for the formation energy (no corrections) is -0.967 eV/atom. For the density of states at the Fermi level, the calculation gives 1.969 states/eV/atom.

abc: 8.174 8.177 9.144
angles: 116.57 90.00 119.99
Last column: magnetic moment on the atom in μB.
Element x y z (fractional)
Pu (0.500, 0.000, 0.500)  4.99
Pu (0.500, 0.500, 0.500)  4.99
Pu (0.000, 0.500, 0.500)  4.99
Tl (0.000, 0.000, 0.000)  -0.01
Tl (0.000, 0.500, 0.000)  -0.01
Tl (0.500, 0.500, 0.000)  -0.01
Cr (0.000, 0.000, 0.500)  3.02
Se (0.265, 0.530, 0.294)  -0.12
Se (0.735, 0.470, 0.706)  -0.12
Se (0.783, 0.567, 0.311)  -0.15
Se (0.217, 0.433, 0.689)  -0.15
Se (0.783, 0.028, 0.311)  -0.15
Se (0.217, 0.972, 0.689)  -0.15
Se (0.244, 0.028, 0.311)  -0.15
Se (0.756, 0.972, 0.689)  -0.15

Record 12
DFT (PBE) results for an optimized crystal structure of PuCr2Si2.

## Properties
The space-group type is I4/mmm. The calculation puts the raw total energy at -9.16 eV per atom. The value obtained for the formation energy (no corrections) is -0.276 eV/atom. For the density of states at the Fermi level, the calculation gives 2.253 states/eV/atom.

abc: 6.053 6.053 6.053
angles: 143.36 143.36 52.79
Last column: magnetic moment on the atom in μB.
Element x y z (fractional)
Pu (0.000, 0.000, 0.000)  5.02
Cr (0.750, 0.250, 0.500)  0.29
Cr (0.250, 0.750, 0.500)  0.29
Si (0.613, 0.613, 0.000)  -0.03
Si (0.387, 0.387, 0.000)  -0.03

Record 13
DFT (PBE) results for an optimized crystal structure of Pu2CrSi.

## Properties
The space-group type is P4/mmm. The calculation puts the raw total energy at -10.78 eV per atom. The value obtained for the formation energy (no corrections) is 0.151 eV/atom. For the density of states at the Fermi level, the calculation gives 1.845 states/eV/atom.

abc: 4.911 3.503 3.503
angles: 90.00 90.00 90.00
Element x y z (fractional)
Cr (0.500, 0.000, 0.000)
Si (0.500, 0.500, 0.500)
Pu (0.000, 0.000, 0.500)
Pu (0.000, 0.500, 0.000)

Record 14
DFT (PBE) results for an optimized crystal structure of PuTa2Cr.

## Properties
For the formation energy from the elements, the calculation gives 0.80 eV per formula unit. The space-group type is P4/mmm. The calculation puts the raw total energy at -11.71 eV per atom. For the density of states at the Fermi level, the calculation gives 1.446 states/eV/atom.

abc: 3.100 3.100 7.487
angles: 90.00 90.00 90.00
Last column: magnetic moment on the atom in μB.
Element x y z (fractional)
Cr (0.500, 0.500, 0.000)  0.17
Ta (0.000, 0.000, 0.798)  -0.04
Ta (0.000, 0.000, 0.202)  -0.04
Pu (0.500, 0.500, 0.500)  4.92

Record 15
DFT (PBE) results for an optimized crystal structure of PuCrTc2.

## Properties
For the formation energy from the elements, the calculation gives 0.63 eV per formula unit. The space-group type is P4/mmm. The calculation puts the raw total energy at -11.02 eV per atom. The energy above the most stable polymorph in this dataset is 0 meV/atom. For the density of states at the Fermi level, the calculation gives 1.339 states/eV/atom.

abc: 3.158 4.540 4.540
angles: 90.00 90.00 90.00
Last column: magnetic moment on the atom in μB.
Element x y z (fractional)
Cr (0.500, 0.500, 0.500)  2.32
Tc (0.000, 0.000, 0.500)  -0.82
Tc (0.000, 0.500, 0.000)  -0.82
Pu (0.500, 0.000, 0.000)  4.14

Record 16
DFT (PBE) results for an optimized crystal structure of PuCrTc2.

## Properties
For the formation energy from the elements, the calculation gives 1.83 eV per formula unit. The space-group type is R-3m. The calculation puts the raw total energy at -10.71 eV per atom. The energy above the most stable polymorph in this dataset is 301 meV/atom. For the density of states at the Fermi level, the calculation gives 1.864 states/eV/atom.

abc: 2.823 2.823 9.410
angles: 81.37 81.37 60.00
Last column: magnetic moment on the atom in μB.
Element x y z (fractional)
Cr (0.500, 0.500, 0.500)  0.10
Tc (0.096, 0.096, 0.712)  0.01
Tc (0.904, 0.904, 0.288)  0.01
Pu (0.000, 0.000, 0.000)  4.45

Record 17
DFT (PBE) results for an optimized crystal structure of PuCr4Tc.

## Properties
For the formation energy from the elements, the calculation gives 1.98 eV per formula unit. The space-group type is F-43m. The calculation puts the raw total energy at -10.20 eV per atom. For the density of states at the Fermi level, the calculation gives 2.215 states/eV/atom.

abc: 4.946 4.946 4.946
angles: 60.00 60.00 60.00
Last column: magnetic moment on the atom in μB.
Element x y z (fractional)
Cr (0.625, 0.625, 0.124)  0.14
Cr (0.625, 0.124, 0.625)  0.14
Cr (0.625, 0.625, 0.625)  0.14
Cr (0.124, 0.625, 0.625)  0.14
Tc (0.000, 0.000, 0.000)  -0.24
Pu (0.250, 0.250, 0.250)  4.65

Record 18
DFT (PBE) results for an optimized crystal structure of PuCrTc2.

## Properties
For the formation energy from the elements, the calculation gives 0.67 eV per formula unit. The space-group type is P4/mmm. The calculation puts the raw total energy at -11.00 eV per atom. The energy above the most stable polymorph in this dataset is 11 meV/atom. For the density of states at the Fermi level, the calculation gives 1.917 states/eV/atom.

abc: 2.991 2.991 7.142
angles: 90.00 90.00 90.00
Last column: magnetic moment on the atom in μB.
Element x y z (fractional)
Cr (0.500, 0.500, 0.000)  0.22
Tc (0.000, 0.000, 0.797)  -0.55
Tc (0.000, 0.000, 0.203)  -0.55
Pu (0.500, 0.500, 0.500)  4.54

Record 19
DFT (PBE) results for an optimized crystal structure of PuCrTc2.

## Properties
For the formation energy from the elements, the calculation gives 0.69 eV per formula unit. The space-group type is Fm-3m. The calculation puts the raw total energy at -11.00 eV per atom. The energy above the most stable polymorph in this dataset is 15 meV/atom. For the density of states at the Fermi level, the calculation gives 1.785 states/eV/atom.

abc: 4.505 4.505 4.505
angles: 60.00 60.00 60.00
Last column: magnetic moment on the atom in μB.
Element x y z (fractional)
Cr (0.000, 0.000, 0.000)  2.25
Tc (0.250, 0.250, 0.250)  -0.53
Tc (0.750, 0.750, 0.750)  -0.53
Pu (0.500, 0.500, 0.500)  4.56

Record 20
DFT (PBE) results for an optimized crystal structure of TmPuCrTc.

## Properties
For the formation energy from the elements, the calculation gives 1.17 eV per formula unit. The space-group type is F-43m. The calculation puts the raw total energy at -9.41 eV per atom. For the density of states at the Fermi level, the calculation gives 1.838 states/eV/atom.

abc: 4.818 4.818 4.818
angles: 60.00 60.00 60.00
Last column: magnetic moment on the atom in μB.
Element x y z (fractional)
Cr (0.750, 0.750, 0.750)  2.69
Tm (0.000, 0.000, 0.000)  0.00
Tc (0.250, 0.250, 0.250)  -0.51
Pu (0.500, 0.500, 0.500)  4.81